Computed, not measured: a relaxed Al2InAu2 crystal at the PBE level of DFT.

The value obtained for the size of the total moment is 0.000 μB/f.u. The calculation puts the total DFT energy (no corrections) at -36.08 eV/cell.

a = 4.063 Å, b = 4.063 Å, c = 12.129 Å
α = 90.00°, β = 90.00°, γ = 90.00°
Space group I4/mmm (No. 139)
Unique sites:
Al1 0.000 0.500 0.250
In1 0.000 0.000 0.000
Au1 0.000 0.000 0.383

=====

Computed, not measured: a relaxed AlIn2Au crystal at the PBE level of DFT.

The value obtained for the size of the total moment is 0.000 μB/f.u. The calculation puts the total DFT energy (no corrections) at -24.67 eV/cell.

a = 4.445 Å, b = 4.745 Å, c = 8.213 Å
α = 90.00°, β = 90.00°, γ = 90.00°
Space group Cmmm (No. 65)
Unique sites:
Al1 0.000 0.000 0.000
In1 0.000 0.500 0.260
Au1 0.000 0.000 0.500

=====

Computed, not measured: a relaxed AlIn2Au crystal at the PBE level of DFT.

The value obtained for the size of the total moment is 0.000 μB/f.u. The calculation puts the total DFT energy (no corrections) at -25.64 eV/cell.

a = 8.527 Å, b = 3.540 Å, c = 6.182 Å
α = 90.00°, β = 103.25°, γ = 90.00°
Space group Cm (No. 8)
Unique sites:
Al1 0.000 0.000 0.000
In1 0.025 0.500 0.594
In2 0.258 0.500 0.286
Au1 0.273 0.000 0.867

=====

Computed, not measured: a relaxed AlIn3Au12 crystal at the PBE level of DFT.

The value obtained for the size of the total moment is 0.000 μB/f.u. The calculation puts the total DFT energy (no corrections) at -53.22 eV/cell.

a = 4.232 Å, b = 4.232 Å, c = 16.563 Å
α = 90.00°, β = 90.00°, γ = 90.00°
Space group P4/mmm (No. 123)
Unique sites:
Al1 0.000 0.000 0.000
In1 0.000 0.000 0.245
In2 0.000 0.000 0.500
Au1 0.000 0.500 0.116
Au2 0.000 0.500 0.372
Au3 0.500 0.500 0.000
Au4 0.500 0.500 0.244
Au5 0.500 0.500 0.500

=====

Computed, not measured: a relaxed Al6InAu12 crystal at the PBE level of DFT.

The value obtained for the size of the total moment is 0.000 μB/f.u. For the distance to the lowest polymorph of the same formula, the calculation gives 0 meV/atom. The calculation puts the total DFT energy (no corrections) at -207.59 eV/cell.

a = 12.1549 Å, b = 12.1549 Å, c = 8.4524 Å
α = 90.00°, β = 90.00°, γ = 120.00°
Space group R-3m (No. 166, hexagonal axes)
Unique sites:
Al1 0.0645 0.5323 0.2416
In1 0.0000 0.0000 0.0000
Au1 0.0000 0.3808 0.5000
Au2 0.0817 0.1633 0.2888

=====

Computed, not measured: a relaxed La2Al4InAu3 crystal at the PBE level of DFT.

The value obtained for the size of the total moment is 0.000 μB/f.u. The calculation puts the total DFT energy (no corrections) at -44.33 eV/cell.

a = 4.470 Å, b = 4.470 Å, c = 10.826 Å
α = 90.00°, β = 90.00°, γ = 90.00°
Space group P-4m2 (No. 115)
Unique sites:
La1 0.000 0.500 0.244
Al1 0.000 0.000 0.000
Al2 0.000 0.500 0.645
Al3 0.500 0.500 0.000
In1 0.000 0.000 0.500
Au1 0.000 0.500 0.877
Au2 0.500 0.500 0.500

=====

Computed, not measured: a relaxed LaAlIn2Au5 crystal at the PBE level of DFT.

The value obtained for the size of the total moment is 0.000 μB/f.u. The calculation puts the total DFT energy (no corrections) at -67.17 eV/cell.

a = 4.859 Å, b = 6.174 Å, c = 14.377 Å
α = 90.00°, β = 90.00°, γ = 90.00°
Space group Immm (No. 71)
Unique sites:
La1 0.000 0.000 0.000
Al1 0.000 0.000 0.500
In1 0.000 0.500 0.195
Au1 0.000 0.271 0.364
Au2 0.000 0.500 0.000

=====

Computed, not measured: a relaxed LaAl2InAu4 crystal at the PBE level of DFT.

The value obtained for the size of the total moment is 0.000 μB/f.u. The calculation puts the total DFT energy (no corrections) at -97.12 eV/cell.

a = 4.4218 Å, b = 4.4218 Å, c = 30.0172 Å
α = 90.00°, β = 90.00°, γ = 120.00°
Space group R-3m (No. 166, hexagonal axes)
Unique sites:
La1 0.0000 0.0000 0.0000
Al1 0.0000 0.0000 0.2463
In1 0.0000 0.0000 0.5000
Au1 0.0000 0.0000 0.1182
Au2 0.0000 0.0000 0.3957